# 1
Density functional theory data (PBE) for crystalline CdSiTc4 at its relaxed geometry.

a = 5.164 Å, b = 5.164 Å, c = 5.164 Å
α = 60.00°, β = 60.00°, γ = 60.00°
Fractional positions:
1 Cd 0.750 0.750 0.750
2 Tc 0.375 0.876 0.375
3 Tc 0.876 0.375 0.375
4 Tc 0.375 0.375 0.876
5 Tc 0.375 0.375 0.375
6 Si 0.000 0.000 0.000

Spin magnetization in μB/atom: 0.000
Energy in Ha/atom: -0.273
Energy relative to the elements, uncorrected in meV per atom: 543
V in Å³ per atom: 16.23


# 2
Density functional theory data (PBE) for crystalline YLuCo at its relaxed geometry.

a = 4.650 Å, b = 4.650 Å, c = 4.650 Å
α = 60.00°, β = 60.00°, γ = 60.00°
Fractional positions:
1 Co 0.250 0.250 0.250
2 Y 0.000 0.000 0.000
3 Lu 0.500 0.500 0.500

Spin magnetization in μB/atom: 0.000
Energy in Ha/atom: -0.224
Formation enthalpy at 0 K in meV per atom: -69
V in Å³ per atom: 23.69


# 3
Density functional theory data (PBE) for crystalline K2YTa at its relaxed geometry.

a = 7.411 Å, b = 7.411 Å, c = 7.411 Å
α = 144.25°, β = 144.25°, γ = 51.46°
Site moments in Bohr magnetons follow the coordinates.
Fractional positions:
1 K 0.000 0.000 0.000  0.01
2 K 0.500 0.500 0.000  0.01
3 Y 0.750 0.250 0.500  0.23
4 Ta 0.250 0.750 0.500  1.40

Spin magnetization in μB/atom: 0.686
Energy in Ha/atom: -0.143
Formation enthalpy at 0 K in meV per atom: 1239
V in Å³ per atom: 34.56


# 4
Density functional theory data (PBE) for crystalline CsIn2Au at its relaxed geometry.

a = 4.905 Å, b = 4.905 Å, c = 8.776 Å
α = 73.77°, β = 73.77°, γ = 60.00°
Fractional positions:
1 Au 0.500 0.500 0.500
2 In 0.855 0.855 0.435
3 In 0.145 0.145 0.565
4 Cs 0.000 0.000 0.000

Spin magnetization in μB/atom: 0.000
Energy in Ha/atom: -0.090
Formation enthalpy at 0 K in meV per atom: -42
V in Å³ per atom: 43.28


# 5
Density functional theory data (PBE) for crystalline Pm3Nd6Sm2 at its relaxed geometry.

a = 3.663 Å, b = 3.663 Å, c = 32.970 Å
α = 86.82°, β = 86.82°, γ = 60.00°
Fractional positions:
1 Nd 0.818 0.818 0.546
2 Nd 0.364 0.364 0.909
3 Nd 0.182 0.182 0.454
4 Nd 0.636 0.636 0.091
5 Nd 0.091 0.091 0.727
6 Nd 0.909 0.909 0.273
7 Pm 0.000 0.000 0.000
8 Pm 0.273 0.273 0.182
9 Pm 0.727 0.727 0.818
10 Sm 0.455 0.455 0.636
11 Sm 0.545 0.545 0.364

Spin magnetization in μB/atom: 0.000
Energy in Ha/atom: -0.174
Formation enthalpy at 0 K in meV per atom: 10
V in Å³ per atom: 34.75


# 6
Density functional theory data (PBE) for crystalline K4UTe5 at its relaxed geometry.

a = 6.794 Å, b = 8.465 Å, c = 8.465 Å
α = 80.73°, β = 66.34°, γ = 66.34°
Site moments in Bohr magnetons follow the coordinates.
Fractional positions:
1 K 0.596 0.602 0.210  0.00
2 K 0.408 0.398 0.790  0.00
3 K 0.806 0.790 0.602  0.00
4 K 0.198 0.210 0.398  0.00
5 U 0.031 0.000 0.000  0.23
6 Te 0.751 0.167 0.334  -0.02
7 Te 0.085 0.666 0.167  -0.02
8 Te 0.253 0.833 0.666  -0.02
9 Te 0.464 0.000 0.000  -0.02
10 Te 0.918 0.334 0.833  -0.02

Spin magnetization in μB/atom: 0.004
Energy in Ha/atom: -0.146
Energy relative to the elements, uncorrected in meV per atom: -846
V in Å³ per atom: 40.84


# 7
Density functional theory data (PBE) for crystalline TaCrCl at its relaxed geometry.

a = 3.067 Å, b = 3.067 Å, c = 6.699 Å
α = 90.00°, β = 90.00°, γ = 120.00°
Site moments in Bohr magnetons follow the coordinates.
Fractional positions:
1 Ta 0.333 0.667 0.679  0.01
2 Cl 0.000 0.000 0.960  0.02
3 Cr 0.667 0.333 0.361  3.34

Spin magnetization in μB/atom: 1.279
Energy in Ha/atom: -0.279
Energy relative to the elements, uncorrected in meV per atom: 175
V in Å³ per atom: 18.18


# 8
Density functional theory data (PBE) for crystalline Cs2GeAs2 at its relaxed geometry.

a = 7.361 Å, b = 7.361 Å, c = 6.034 Å
α = 90.00°, β = 90.00°, γ = 90.00°
Fractional positions:
1 As 0.882 0.618 0.000
2 As 0.618 0.118 0.000
3 As 0.382 0.882 0.000
4 As 0.118 0.382 0.000
5 Cs 0.814 0.314 0.500
6 Cs 0.186 0.686 0.500
7 Cs 0.686 0.814 0.500
8 Cs 0.314 0.186 0.500
9 Ge 0.000 0.000 0.000
10 Ge 0.500 0.500 0.000

Spin magnetization in μB/atom: 0.000
Energy in Ha/atom: -0.120
Formation enthalpy at 0 K in meV per atom: -138
V in Å³ per atom: 32.69


# 9
Density functional theory data (PBE) for crystalline LaNdPd2 at its relaxed geometry.

a = 3.943 Å, b = 4.659 Å, c = 5.842 Å
α = 90.00°, β = 109.77°, γ = 90.00°
Fractional positions:
1 Nd 0.447 0.500 0.434
2 Pd 0.169 0.500 0.877
3 Pd 0.995 0.000 0.529
4 La 0.719 0.000 0.977

Spin magnetization in μB/atom: 0.000
Energy in Ha/atom: -0.215
Formation enthalpy at 0 K in meV per atom: -820
V in Å³ per atom: 25.25


# 10
Density functional theory data (PBE) for crystalline DyAlHg at its relaxed geometry.

a = 3.609 Å, b = 4.650 Å, c = 4.650 Å
α = 120.00°, β = 90.00°, γ = 90.00°
Fractional positions:
1 Dy 0.667 0.667 0.333
2 Al 0.167 0.000 0.000
3 Hg 0.166 0.333 0.667

Spin magnetization in μB/atom: 0.000
Energy in Ha/atom: -0.123
Formation enthalpy at 0 K in meV per atom: -463
V in Å³ per atom: 22.53


# 11
Density functional theory data (PBE) for crystalline TaTiNF2 at its relaxed geometry.

a = 3.787 Å, b = 3.787 Å, c = 4.453 Å
α = 90.00°, β = 90.00°, γ = 90.00°
Site moments in Bohr magnetons follow the coordinates.
Fractional positions:
1 F 0.500 0.000 0.000  0.07
2 F 0.000 0.500 0.000  0.07
3 Ti 0.000 0.000 0.000  0.73
4 N 0.000 0.000 0.500  -0.07
5 Ta 0.500 0.500 0.500  1.76

Spin magnetization in μB/atom: 0.683
Energy in Ha/atom: -0.263
Energy relative to the elements, uncorrected in meV per atom: -793
V in Å³ per atom: 12.77


# 12
Density functional theory data (PBE) for crystalline Ho4GaFe at its relaxed geometry.

a = 5.932 Å, b = 8.115 Å, c = 7.785 Å
α = 114.57°, β = 103.69°, γ = 106.07°
Fractional positions:
1 Ho 0.046 0.214 0.863
2 Ho 0.317 0.649 0.863
3 Ho 0.785 0.715 0.656
4 Ho 0.371 0.941 0.656
5 Ho 0.215 0.285 0.344
6 Ho 0.629 0.059 0.344
7 Ho 0.683 0.351 0.137
8 Ho 0.954 0.786 0.137
9 Fe 0.250 0.000 0.000
10 Fe 0.750 0.000 0.000
11 Ga 0.378 0.628 0.256
12 Ga 0.622 0.372 0.744

Spin magnetization in μB/atom: 0.000
Energy in Ha/atom: -0.190
Formation enthalpy at 0 K in meV per atom: -203
V in Å³ per atom: 24.98